Arrangement a

Computed, not measured: a relaxed Th2Cu3Pt crystal at the GGA-PBE level of DFT.

Computed properties:
- SG = Fmmm
- magnetization (Bohr magnetons per cell) = 0.00
- DOS(E_F) (states/eV per atom) = 0.65

a = 8.7858 Å, b = 8.4244 Å, c = 5.6921 Å
α = 74.16°, β = 67.29°, γ = 38.56°
With the nearest neighbours (Å) after each atom.
Fractional positions:
Th1 0.2477 0.7523 0.7523  10 Cu 3.06-3.14, 2 Pt 3.10
Th2 0.2500 0.2500 0.2500  4 Pt 3.12, 8 Cu 3.14-3.15
Th3 0.7500 0.7500 0.7500  4 Pt 3.12, 8 Cu 3.14-3.15
Th4 0.7523 0.2477 0.2477  10 Cu 3.06-3.14, 2 Pt 3.10
Cu1 0.1764 0.6615 0.3385  2 Cu 2.46-2.47, 1 Pt 2.61
Cu2 0.3383 0.3383 0.6617  2 Cu 2.46, 1 Pt 2.61
Cu3 0.3385 0.8236 0.1764  2 Cu 2.46-2.47, 1 Pt 2.61
Cu4 0.6615 0.1764 0.8236  2 Cu 2.46-2.47, 1 Pt 2.61
Cu5 0.6617 0.6617 0.3383  2 Cu 2.46, 1 Pt 2.61
Cu6 0.8236 0.3385 0.6615  2 Cu 2.46-2.47, 1 Pt 2.61
Pt1 0.1665 0.1665 0.8335  3 Cu 2.61
Pt2 0.8335 0.8335 0.1665  3 Cu 2.61

Arrangement b

Computed, not measured: a relaxed Th2Cu3Pt crystal at the GGA-PBE level of DFT.

Computed properties:
- SG = Pmm2
- magnetization (Bohr magnetons per cell) = 0.00
- DOS(E_F) (states/eV per atom) = 0.71

a = 3.6646 Å, b = 4.3544 Å, c = 7.6384 Å
α = 90.00°, β = 90.00°, γ = 90.00°
With the nearest neighbours (Å) after each atom.
Fractional positions:
Th1 0.0000 0.0000 0.0000  10 Cu 3.06-3.14, 2 Pt 3.13
Th2 0.0000 0.5000 0.4867  4 Pt 3.08, 8 Cu 3.17-3.18
Cu1 0.5000 0.0000 0.6730  2 Cu 2.47, 1 Pt 2.60
Cu2 0.5000 0.5000 0.1459  1 Cu 2.45, 2 Pt 2.60
Cu3 0.5000 0.5000 0.8252  3 Cu 2.45-2.47
Pt1 0.5000 0.0000 0.3324  3 Cu 2.60

Ranked by calculated energy, most stable first: arrangement a, arrangement b.